Record 1
Computed, not measured: an optimized crystal structure of Th5TcBi2 at the PBE level of DFT.

Cell and atoms, written as POSCAR:
```
Th5TcBi2
1.0
8.310 0.000 0.000
0.000 12.745 0.000
0.000 0.000 4.634
Th Tc Bi
10 2 4
Direct
0.000 0.000 0.000
0.129 0.301 0.000
0.196 0.560 0.500
0.304 0.060 0.500
0.371 0.801 0.000
0.500 0.500 0.000
0.629 0.199 0.000
0.696 0.940 0.500
0.804 0.440 0.500
0.871 0.699 0.000
0.000 0.500 0.000
0.500 0.000 0.000
0.086 0.823 0.500
0.414 0.323 0.500
0.586 0.677 0.500
0.914 0.177 0.500
```

Output
uncorrected energy: -7.272 eV/atom
space-group type: Pbam (55)
E_form: -368 meV per atom

---

Record 2
Computed, not measured: an optimized crystal structure of Th4TcBi at the PBE level of DFT.

Cell and atoms, written as POSCAR:
```
Th4TcBi
1.0
8.800 0.000 0.000
0.000 3.990 0.000
0.000 0.000 20.008
Th Tc Bi
16 4 4
Direct
0.018 0.250 0.067
0.054 0.750 0.217
0.121 0.750 0.647
0.150 0.750 0.453
0.350 0.250 0.953
0.379 0.250 0.147
0.446 0.250 0.717
0.482 0.750 0.567
0.518 0.250 0.433
0.554 0.750 0.283
0.621 0.750 0.853
0.650 0.750 0.047
0.850 0.250 0.547
0.879 0.250 0.353
0.946 0.250 0.783
0.982 0.750 0.933
0.233 0.250 0.559
0.267 0.750 0.059
0.733 0.250 0.941
0.767 0.750 0.441
0.244 0.750 0.814
0.256 0.250 0.314
0.744 0.750 0.686
0.756 0.250 0.186
```

Output
uncorrected energy: -7.613 eV/atom
space-group type: Pnma (62)
E_form: -292 meV per atom

---

Record 3
Computed, not measured: an optimized crystal structure of Th5TcBi2 at the PBE level of DFT.

Cell and atoms, written as POSCAR:
```
Th5TcBi2
1.0
2.918 -8.077 0.000
2.918 8.077 0.000
0.000 0.000 13.219
Th Tc Bi
10 2 4
Direct
0.066 0.934 0.605
0.066 0.934 0.895
0.292 0.708 0.571
0.292 0.708 0.929
0.314 0.686 0.250
0.686 0.314 0.750
0.708 0.292 0.071
0.708 0.292 0.429
0.934 0.066 0.105
0.934 0.066 0.395
0.182 0.818 0.750
0.818 0.182 0.250
0.140 0.860 0.119
0.140 0.860 0.381
0.860 0.140 0.619
0.860 0.140 0.881
```

Output
uncorrected energy: -6.749 eV/atom
space-group type: Cmcm (63)
E_form: 154 meV per atom

---

Record 4
Computed, not measured: an optimized crystal structure of Th6TcBi3 at the PBE level of DFT.

Cell and atoms, written as POSCAR:
```
Th6TcBi3
1.0
6.371 0.000 0.000
0.000 8.906 0.000
-6.126 0.000 11.272
Th Tc Bi
12 2 6
Direct
0.050 0.158 0.440
0.050 0.342 0.940
0.364 0.696 0.445
0.364 0.804 0.945
0.411 0.032 0.271
0.411 0.468 0.771
0.589 0.532 0.229
0.589 0.968 0.729
0.636 0.196 0.055
0.636 0.304 0.555
0.950 0.658 0.060
0.950 0.842 0.560
0.500 0.000 0.500
0.500 0.500 0.000
0.000 0.000 0.000
0.000 0.500 0.500
0.144 0.126 0.753
0.144 0.374 0.253
0.856 0.626 0.747
0.856 0.874 0.247
```

Output
uncorrected energy: -6.924 eV/atom
space-group type: P2_1/c (14)
E_form: -272 meV per atom

---

Record 5
Computed, not measured: an optimized crystal structure of Th12Tc6Bi at the PBE level of DFT.

Cell and atoms, written as POSCAR:
```
Th12Tc6Bi
1.0
-5.092 5.092 5.092
5.092 -5.092 5.092
5.092 5.092 -5.092
Th Tc Bi
12 6 1
Direct
0.122 0.814 0.307
0.186 0.307 0.493
0.186 0.693 0.878
0.307 0.122 0.814
0.307 0.493 0.186
0.493 0.186 0.307
0.507 0.814 0.693
0.693 0.507 0.814
0.693 0.878 0.186
0.814 0.307 0.122
0.814 0.693 0.507
0.878 0.186 0.693
0.141 0.641 0.500
0.359 0.500 0.859
0.500 0.141 0.641
0.500 0.859 0.359
0.641 0.500 0.141
0.859 0.359 0.500
0.000 0.000 0.000
```

Output
uncorrected energy: -8.243 eV/atom
space-group type: Im-3 (204)
E_form: -79 meV per atom

---

Record 6
Computed, not measured: an optimized crystal structure of Ti2TcBi at the PBE level of DFT.

Cell and atoms, written as POSCAR:
```
Ti2TcBi
1.0
-3.737 3.737 2.835
3.737 -3.737 2.835
3.737 3.737 -2.835
Ti Tc Bi
4 2 2
Direct
0.067 0.625 0.942
0.375 0.317 0.442
0.683 0.125 0.058
0.875 0.933 0.558
0.000 0.000 0.000
0.750 0.250 0.500
0.250 0.750 0.500
0.500 0.500 0.000
```

Output
uncorrected energy: -7.253 eV/atom
space-group type: I-42d (122)
E_form: 256 meV per atom